UTeSe2: relaxed, PBE.

Output
- Density: 6.91 g cm⁻³
- E above lowest polymorph: 0.1717 eV per atom
- Raw formation energy: -539.6 meV per atom

a = 4.473 Å, b = 4.473 Å, c = 7.710 Å
α = 73.14°, β = 73.14°, γ = 60.00°
Positions (direct):
Se  0.278  0.278  0.167
Te  0.520  0.520  0.441
U  0.654  0.654  0.039
Se  0.049  0.049  0.853